Entry 1:
VASP calculation (GGA-PBE) on a relaxed structure of Y2MoI2.

Unit cell a=5.967 b=5.967 c=5.967 alpha=120.41 beta=120.41 gamma=89.30
Element x y z (fractional)
Y 0.250 0.750 0.500
Y 0.750 0.250 0.500
Mo 0.000 0.000 0.000
I 0.313 0.313 0.000
I 0.687 0.687 0.000

Values from the calculation:
For the total moment, the calculation gives 0.141 μB per atom. The final energy is -5.0929 eV per atom. The volume is 29.85 Å³/atom. As for the energy relative to the lowest polymorph listed for this composition: 0.123 eV per atom. Its formation energy (no corrections) is 0.279 eV/atom.


Entry 2:
VASP calculation (GGA-PBE) on a relaxed structure of BaPtPb2.

Unit cell a=5.399 b=5.399 c=5.399 alpha=60.00 beta=60.00 gamma=60.00
Element x y z (fractional)
Ba 0.000 0.000 0.000
Pt 0.500 0.500 0.500
Pb 0.250 0.250 0.250
Pb 0.750 0.750 0.750

Values from the calculation:
For the total moment, the calculation gives 0.000 μB per atom. The calculated formation energy comes out at -0.16 eV per atom. The final energy is -4.0014 eV per atom. The volume is 27.83 Å³/atom.


Entry 3:
VASP calculation (GGA-PBE) on a relaxed structure of Y2NbGa.

Unit cell a=10.995 b=10.995 c=10.995 alpha=157.64 beta=157.64 gamma=31.83
Element x y z (fractional)
Y 0.124 0.625 0.999
Y 0.375 0.374 0.499
Y 0.626 0.125 0.001
Y 0.875 0.876 0.501
Nb 0.250 0.750 0.500
Nb 0.500 0.500 0.000
Ga 0.000 0.000 0.000
Ga 0.750 0.250 0.500

Values from the calculation:
For the total moment, the calculation gives 0.000 μB per atom. The calculated formation energy comes out at 0.45 eV per atom. The final energy is -6.0556 eV per atom. The volume is 24.03 Å³/atom.


Entry 4:
VASP calculation (GGA-PBE) on a relaxed structure of Y2ErScTl2.

Unit cell a=4.937 b=9.755 c=6.874 alpha=90.00 beta=90.00 gamma=90.00
Element x y z (fractional)
Y 0.000 0.049 0.000
Y 0.000 0.951 0.500
Y 0.500 0.193 0.288
Y 0.500 0.807 0.788
Er 0.500 0.452 0.897
Er 0.500 0.548 0.397
Sc 0.000 0.306 0.609
Sc 0.000 0.694 0.109
Tl 0.000 0.383 0.168
Tl 0.000 0.617 0.668
Tl 0.500 0.137 0.739
Tl 0.500 0.863 0.239

Values from the calculation:
For the total moment, the calculation gives 0.000 μB per atom. The calculated formation energy comes out at -0.28 eV per atom. The final energy is -5.0353 eV per atom. The volume is 27.59 Å³/atom.


Entry 5:
VASP calculation (GGA-PBE) on a relaxed structure of ScAl2Fe2.

Unit cell a=6.365 b=6.365 c=6.365 alpha=146.45 beta=146.45 gamma=48.18
Element x y z (fractional)
Sc 0.000 0.000 0.000
Al 0.389 0.389 0.000
Al 0.611 0.611 0.000
Fe 0.250 0.750 0.500
Fe 0.750 0.250 0.500

Values from the calculation:
For the total moment, the calculation gives 0.787 μB per atom. The calculated formation energy comes out at -0.19 eV per atom. The final energy is -6.3418 eV per atom. The volume is 15.69 Å³/atom. As for the energy relative to the lowest polymorph listed for this composition: 0.043 eV per atom.


Among the records above, which one has the lowest final energy? ScAl2Fe2